1.
La7DyTm2: relaxed, GGA-PBE.

a = 5.8241 Å, b = 9.2775 Å, c = 9.2775 Å
α = 121.80°, β = 90.00°, γ = 90.00°
Atoms (fractional coordinates):
Tm1 0.5000 0.7049 0.2951
Tm2 0.5000 0.2951 0.7049
La1 0.5000 0.9329 0.7031
La2 0.5000 0.0671 0.2969
La3 0.0000 0.7654 0.2346
La4 0.0000 0.2346 0.7654
La5 0.5000 0.7031 0.9329
La6 0.5000 0.2969 0.0671
Dy1 0.0000 0.0000 0.0000
La7 0.5000 0.5000 0.5000

Results
The calculated density comes out at 5.74 g/cm3. The total energy is -4.202 eV/atom. The calculation puts the total magnetization at 0.00 μB/atom. As for the calculated formation energy: 6.02 eV/f.u. The symmetry is No. 65.

***

2.
ErAl12Co4: relaxed, GGA-PBE.

a = 7.7448 Å, b = 7.7448 Å, c = 7.7448 Å
α = 109.47°, β = 109.47°, γ = 109.47°
Atoms (fractional coordinates):
Al1 0.5160 0.2578 0.2583
Al2 0.0005 0.7422 0.2583
Co1 0.5000 0.0000 0.0000
Al3 0.2578 0.7417 0.9995
Al4 0.2583 0.5160 0.2578
Al5 0.4840 0.7422 0.7417
Al6 0.9995 0.2578 0.7417
Co2 0.0000 0.0000 0.5000
Al7 0.7417 0.9995 0.2578
Al8 0.2578 0.2583 0.5161
Er1 0.0000 0.0000 0.0000
Al9 0.2583 0.0005 0.7422
Al10 0.7422 0.2583 0.0005
Co3 0.0000 0.5000 0.0000
Al11 0.7422 0.7417 0.4840
Al12 0.7417 0.4840 0.7422
Co4 0.5000 0.5000 0.5000

Results
The calculated density comes out at 3.37 g/cm3. The total energy is -4.703 eV/atom. The calculation puts the total magnetization at 0.10 μB/atom. As for the calculated formation energy: -2.05 eV/f.u. The symmetry is No. 229.

***

Question: Which value of calculated density does entry 2 give?
Answer: 3.37 g/cm3

***

Question: Which of these has the lowest calculated formation energy?
Answer: ErAl12Co4

***

Please write out number 2 again, unchanged.
ErAl12Co4: relaxed, GGA-PBE.

a = 7.7448 Å, b = 7.7448 Å, c = 7.7448 Å
α = 109.47°, β = 109.47°, γ = 109.47°
Atoms (fractional coordinates):
Al1 0.5160 0.2578 0.2583
Al2 0.0005 0.7422 0.2583
Co1 0.5000 0.0000 0.0000
Al3 0.2578 0.7417 0.9995
Al4 0.2583 0.5160 0.2578
Al5 0.4840 0.7422 0.7417
Al6 0.9995 0.2578 0.7417
Co2 0.0000 0.0000 0.5000
Al7 0.7417 0.9995 0.2578
Al8 0.2578 0.2583 0.5161
Er1 0.0000 0.0000 0.0000
Al9 0.2583 0.0005 0.7422
Al10 0.7422 0.2583 0.0005
Co3 0.0000 0.5000 0.0000
Al11 0.7422 0.7417 0.4840
Al12 0.7417 0.4840 0.7422
Co4 0.5000 0.5000 0.5000

Results
The calculated density comes out at 3.37 g/cm3. The total energy is -4.703 eV/atom. The calculation puts the total magnetization at 0.10 μB/atom. As for the calculated formation energy: -2.05 eV/f.u. The symmetry is No. 229.

***

Question: total magnetization of number 1 (La7DyTm2)?
Answer: 0.00 μB/atom